DFT (PBE) results for an optimized crystal structure of YReNi4.

The space group is F-43m (No. 216) and the conventional cell measures 6.927, 6.927 and 6.927 Å, with angles of 90.00, 90.00 and 90.00 degrees. The inequivalent atoms are Y at (0.000, 0.000, 0.000), Re at (0.250, 0.250, 0.250) and Ni at (0.124, 0.124, 0.624).

The value obtained for the final energy is -7.0009 eV/atom. For the energy of formation, the calculation gives 5 meV/atom. The density of states at the Fermi level comes out at 32.3 states/eV per cell.

---

DFT (PBE) results for an optimized crystal structure of ZrPa2Sb.

The space group is Fm-3m (No. 225) and the conventional cell measures 7.400, 7.400 and 7.400 Å, with angles of 90.00, 90.00 and 90.00 degrees. The inequivalent atoms are Zr at (0.000, 0.000, 0.000), Pa at (0.250, 0.250, 0.250) and Sb at (0.000, 0.000, 0.500).

The value obtained for the final energy is -7.8162 eV/atom. The calculation puts the energy relative to the elements, uncorrected at 99 meV/atom. Its energy relative to the lowest polymorph listed for this composition is 419 meV/atom. The density of states at the Fermi level comes out at 31.7 states/eV per cell.

---

> The highest final energy belongs to which entry?

YReNi4